Entry 1:
{"formula": "Nb2CrH6", "functional": "PBE-GGA", "state": "relaxed", "lattice": [[2.722, -4.714, 0.000], [2.722, 4.714, 0.000], [-1.777, 0.000, 2.557]], "species": ["Nb", "Nb", "Cr", "H", "H", "H", "H", "H", "H"], "fractional_positions": [[0.164, 0.836, 0.000], [0.836, 0.164, 0.000], [0.500, 0.500, 0.000], [0.107, 0.426, 0.766], [0.276, 0.276, 0.277], [0.426, 0.107, 0.766], [0.574, 0.893, 0.234], [0.724, 0.724, 0.723], [0.893, 0.574, 0.234]], "spacegroup": "C2/m", "n_ef_per_ev_cell": 4.40, "total_energy_ev_per_atom": -5.69, "magmom_total_mub_per_cell": 1.64}

Entry 2:
{"formula": "LiTl2Hg", "functional": "PBE-GGA", "state": "relaxed", "lattice": [[3.441, 0.000, 0.000], [0.000, 5.106, 0.000], [-0.588, 0.000, 5.922]], "species": ["Li", "Tl", "Tl", "Hg"], "fractional_positions": [[0.000, 0.000, 0.000], [0.258, 0.500, 0.755], [0.742, 0.500, 0.245], [0.500, 0.000, 0.500]], "spacegroup": "P2/m", "n_ef_per_ev_cell": 1.05, "e_above_lowest_polymorph_mev_per_atom": 48.7, "magmom_total_mub_per_cell": 0.00, "delta_e_f_ev_per_atom": -0.084}

Entry 3:
{"formula": "Sm3Zr", "functional": "PBE-GGA", "state": "relaxed", "lattice": [[-1.758, 5.694, 3.065], [1.758, -5.694, 3.065], [1.758, 5.694, -3.065]], "species": ["Sm", "Sm", "Sm", "Zr"], "fractional_positions": [[0.000, 0.000, 0.000], [0.106, 0.346, 0.760], [0.586, 0.346, 0.240], [0.513, 0.013, 0.500]], "spacegroup": "Imm2", "n_ef_per_ev_cell": 7.04, "e_above_lowest_polymorph_mev_per_atom": 10.1, "magmom_total_mub_per_cell": 0.00, "delta_e_f_ev_per_atom": 0.135}

Entry 4:
{"formula": "Ta5C3", "functional": "PBE-GGA", "state": "relaxed", "lattice": [[3.588, -4.752, 0.000], [3.588, 4.752, 0.000], [0.000, 0.000, 3.205]], "species": ["Ta", "Ta", "Ta", "Ta", "Ta", "C", "C", "C"], "fractional_positions": [[0.000, 0.000, 0.000], [0.000, 0.500, 0.000], [0.296, 0.296, 0.500], [0.500, 0.000, 0.000], [0.704, 0.704, 0.500], [0.169, 0.831, 0.500], [0.500, 0.500, 0.000], [0.831, 0.169, 0.500]], "spacegroup": "Cmmm", "n_ef_per_ev_cell": 4.90, "e_above_lowest_polymorph_mev_per_atom": 302.4, "magmom_total_mub_per_cell": 0.00, "delta_e_f_ev_per_atom": 0.364}